The following is a DFT calculation (PBE) of a relaxed structure of GdYLu.

Cell and atoms, written as POSCAR:
```
GdYLu
1.0
3.5465 0.0000 0.0000
0.0000 3.5465 0.0000
-1.7732 -1.7732 7.4922
Y Gd Lu
1 1 1
direct
0.0026 0.0026 0.0053
0.3313 0.3313 0.6625
0.6661 0.6661 0.3322
```

## Properties
Offset from the most stable computed form ... 0.0000 eV/atom
Energy of formation from the pure elements ... 0.0308 eV/atom


The following is a DFT calculation (PBE) of a relaxed structure of Li2PdPb.

Cell and atoms, written as POSCAR:
```
Li2PdPb
1.0
7.4949 0.0000 0.0000
0.0000 7.4949 0.0000
3.7474 3.7474 2.7310
Pb Pd Li
2 2 4
direct
0.0000 0.0000 0.0000
0.7500 0.2500 0.5000
0.5000 0.5000 0.0000
0.2500 0.7500 0.5000
0.5827 0.1250 0.2500
0.1673 0.6250 0.2500
0.3750 0.4173 0.7500
0.8750 0.8327 0.7500
```

## Properties
Energy of formation from the pure elements ... -0.2115 eV/atom